Density functional theory data (PBE) for ZrMn2Ru2 after structural relaxation.

Cell lengths 7.3146, 7.3146, 2.6861 Å; angles 90.00, 90.00, 90.00 degrees
With the nearest neighbours (Å) after each atom.
Sites, in units of the cell vectors:
Ru1 0.3736 0.8736 0.0000  6 Mn 2.51-2.56, 3 Ru 2.62-2.69
Ru2 0.8736 0.6264 0.0000  6 Mn 2.51-2.56, 3 Ru 2.62-2.69
Ru3 0.6264 0.1264 0.0000  6 Mn 2.51-2.56, 3 Ru 2.62-2.69
Ru4 0.1264 0.3736 0.0000  6 Mn 2.51-2.56, 3 Ru 2.62-2.69
Mn1 0.1690 0.6690 0.5000  6 Ru 2.51-2.56, 2 Mn 2.69
Mn2 0.6690 0.8310 0.5000  6 Ru 2.51-2.56, 2 Mn 2.69
Mn3 0.8310 0.3310 0.5000  6 Ru 2.51-2.56, 2 Mn 2.69
Mn4 0.3310 0.1690 0.5000  6 Ru 2.51-2.56, 2 Mn 2.69
Zr1 0.0000 0.0000 0.0000  2 Zr 2.69, 4 Ru 2.88
Zr2 0.5000 0.5000 0.0000  2 Zr 2.69, 4 Ru 2.88

Computed properties:
Total energy, eV per atom: -9.026
Energy above the most stable polymorph in this dataset, meV/atom: 71
Formation enthalpy at 0 K, eV per atom: 0.06


Density functional theory data (PBE) for Zr5MnRu4 after structural relaxation.

Cell lengths 3.2575, 3.2575, 16.3580 Å; angles 90.00, 90.00, 90.00 degrees
With the nearest neighbours (Å) after each atom.
Sites, in units of the cell vectors:
Zr1 0.5000 0.5000 0.0952  4 Mn 2.78, 4 Ru 2.87
Zr2 0.5000 0.5000 0.2973  8 Ru 2.80-2.85
Zr3 0.5000 0.5000 0.5000  8 Ru 2.83
Zr4 0.5000 0.5000 0.7027  8 Ru 2.80-2.85
Zr5 0.5000 0.5000 0.9048  4 Mn 2.78, 4 Ru 2.87
Mn1 0.0000 0.0000 0.0000  8 Zr 2.78
Ru1 0.0000 0.0000 0.1996  8 Zr 2.80-2.87
Ru2 0.0000 0.0000 0.3996  8 Zr 2.83-2.85
Ru3 0.0000 0.0000 0.6004  8 Zr 2.83-2.85
Ru4 0.0000 0.0000 0.8004  8 Zr 2.80-2.87

Computed properties:
Total energy, eV per atom: -9.433
Formation enthalpy at 0 K, eV per atom: -0.53


Density functional theory data (PBE) for ZrMnRu4 after structural relaxation.

Cell lengths 5.1473, 5.1473, 5.1473 Å; angles 60.00, 60.00, 60.00 degrees
With the nearest neighbours (Å) after each atom.
Sites, in units of the cell vectors:
Zr1 0.7500 0.7500 0.7500  12 Ru 3.02, 4 Mn 3.15
Mn1 0.0000 0.0000 0.0000  12 Ru 3.02, 4 Zr 3.15
Ru1 0.3745 0.8765 0.3745  6 Ru 2.56-2.58
Ru2 0.8765 0.3745 0.3745  6 Ru 2.56-2.58
Ru3 0.3745 0.3745 0.8765  6 Ru 2.56-2.58
Ru4 0.3745 0.3745 0.3745  6 Ru 2.56-2.58

Computed properties:
Total energy, eV per atom: -9.126
Formation enthalpy at 0 K, eV per atom: 0.01


Repeat the first record exactly.
Density functional theory data (PBE) for ZrMn2Ru2 after structural relaxation.

Cell lengths 7.3146, 7.3146, 2.6861 Å; angles 90.00, 90.00, 90.00 degrees
With the nearest neighbours (Å) after each atom.
Sites, in units of the cell vectors:
Ru1 0.3736 0.8736 0.0000  6 Mn 2.51-2.56, 3 Ru 2.62-2.69
Ru2 0.8736 0.6264 0.0000  6 Mn 2.51-2.56, 3 Ru 2.62-2.69
Ru3 0.6264 0.1264 0.0000  6 Mn 2.51-2.56, 3 Ru 2.62-2.69
Ru4 0.1264 0.3736 0.0000  6 Mn 2.51-2.56, 3 Ru 2.62-2.69
Mn1 0.1690 0.6690 0.5000  6 Ru 2.51-2.56, 2 Mn 2.69
Mn2 0.6690 0.8310 0.5000  6 Ru 2.51-2.56, 2 Mn 2.69
Mn3 0.8310 0.3310 0.5000  6 Ru 2.51-2.56, 2 Mn 2.69
Mn4 0.3310 0.1690 0.5000  6 Ru 2.51-2.56, 2 Mn 2.69
Zr1 0.0000 0.0000 0.0000  2 Zr 2.69, 4 Ru 2.88
Zr2 0.5000 0.5000 0.0000  2 Zr 2.69, 4 Ru 2.88

Computed properties:
Total energy, eV per atom: -9.026
Energy above the most stable polymorph in this dataset, meV/atom: 71
Formation enthalpy at 0 K, eV per atom: 0.06


What is the formation enthalpy at 0 K in the first record? 0.06 eV per atom